[1]
A relaxed structure of YInSbI2. Source: the Alexandria database, functional GGA-PBE.

The calculation puts the energy relative to the lowest polymorph listed for this composition at 0 meV/atom. Its volume is 216.4 Å³ per cell. As for the space group: P4/mmm. The energy is -3.731 eV/atom. The formation energy (no corrections) comes out at -43 kJ per mole of atoms.

```
YInSbI2
1.0
-3.6201 -2.5148 4.0391
0.9083 -5.3473 -2.5152
4.7299 -0.9209 3.6658
I Sb Y In
2 1 1 1
Direct
0.0000 0.5000 0.0000
0.5000 0.0000 0.0000
0.0000 0.0000 0.5000
0.0000 0.0000 0.0000
0.5000 0.5000 0.5000
```

=====

[2]
A relaxed structure of Pr2Nd5Tm4. Source: the Alexandria database, functional GGA-PBE.

The calculation puts the energy relative to the lowest polymorph listed for this composition at 138 meV/atom. Its volume is 384.1 Å³ per cell. The formation energy is 0.16 eV/atom. As for the space group: Immm. The energy is -4.501 eV/atom.

```
Pr2Nd5Tm4
1.0
3.5451 0.0000 0.0000
0.0000 9.1725 0.0000
-1.7726 -4.5863 11.8115
Pr Nd Tm
2 5 4
Direct
0.2679 0.2679 0.5358
0.7321 0.7321 0.4642
0.8581 0.0566 0.7162
0.8581 0.6596 0.7162
0.1419 0.3404 0.2838
0.1419 0.9434 0.2838
0.5000 0.0000 0.0000
0.0000 0.3172 0.0000
0.5959 0.5959 0.1918
0.0000 0.6828 0.0000
0.4041 0.4041 0.8082
```

=====

[3]
A relaxed structure of Hf2MnB2. Source: the Alexandria database, functional GGA-PBE.

The calculation puts the energy relative to the lowest polymorph listed for this composition at 0 meV/atom. Its volume is 124.0 Å³ per cell. The formation energy is -0.66 eV/atom. As for the space group: P4/mbm. The energy is -9.147 eV/atom.

```
Hf2MnB2
1.0
-3.7646 -3.0562 -3.6620
-1.7617 -3.4445 4.6857
-2.4505 2.1919 0.6899
B Mn Hf
4 2 4
Direct
0.3941 0.8941 0.0000
0.8941 0.6059 0.0000
0.6059 0.1059 0.0000
0.1059 0.3941 0.0000
0.0000 0.0000 0.0000
0.5000 0.5000 0.0000
0.1844 0.6844 0.5000
0.6844 0.8156 0.5000
0.8156 0.3156 0.5000
0.3156 0.1844 0.5000
```

=====

[4]
A relaxed structure of Ti8Tl. Source: the Alexandria database, functional GGA-PBE.

Its volume is 160.4 Å³ per cell. The formation energy is 0.01 eV/atom. As for the space group: I4/mmm. The energy is -7.267 eV/atom.

```
Ti8Tl
1.0
-1.6635 -3.0796 1.8419
-0.3056 -5.0041 -4.3959
4.9214 -3.5309 2.7876
Ti Tl
8 1
Direct
0.3267 0.0000 0.3466
0.6733 0.0000 0.6534
0.6599 0.3401 0.3401
0.3267 0.3466 0.0000
0.0000 0.3401 0.6599
0.6733 0.6534 0.0000
0.3401 0.6599 0.6599
0.0000 0.6599 0.3401
0.0000 0.0000 0.0000
```

=====

[5]
A relaxed structure of In2CoNiPd. Source: the Alexandria database, functional GGA-PBE.

Its volume is 100.0 Å³ per cell. The formation energy is 0.48 eV/atom. As for the space group: P4/mmm. The energy is -4.236 eV/atom.

```
In2CoNiPd
1.0
4.7973 0.0000 0.0000
0.0000 4.3463 0.0000
0.0000 0.0000 4.7973
Ni Co Pd In
1 1 1 2
Direct
0.0000 0.0000 0.0000
0.0000 0.5000 0.0000
0.5000 0.5000 0.5000
0.0000 0.0000 0.5000
0.5000 0.0000 0.0000
```

=====

[6]
A relaxed structure of TaCr2Tc. Source: the Alexandria database, functional GGA-PBE.

The calculation puts the energy relative to the lowest polymorph listed for this composition at 29 meV/atom. Its volume is 55.9 Å³ per cell. The formation energy is -0.03 eV/atom. As for the space group: P4/mmm. The energy is -10.396 eV/atom.

```
TaCr2Tc
1.0
4.2854 0.0000 0.0000
0.0000 4.2854 0.0000
0.0000 0.0000 3.0450
Cr Ta Tc
2 1 1
Direct
0.0000 0.0000 0.0000
0.5000 0.5000 0.0000
0.5000 0.0000 0.5000
0.0000 0.5000 0.5000
```

=====

[7]
A relaxed structure of LaNd3Ag. Source: the Alexandria database, functional GGA-PBE.

Its volume is 351.5 Å³ per cell. The formation energy is 0.08 eV/atom. As for the space group: C2/m. The energy is -4.335 eV/atom.

```
LaNd3Ag
1.0
-6.9005 -3.0378 -1.6720
4.3298 -0.3023 -6.3877
3.8538 -3.8040 5.4792
La Nd Ag
2 6 2
Direct
0.7182 0.0641 0.7824
0.2818 0.9359 0.2176
0.8400 0.0523 0.2724
0.2201 0.4325 0.2724
0.7799 0.5675 0.7276
0.7255 0.4419 0.1674
0.1600 0.9477 0.7276
0.2745 0.5581 0.8326
0.6287 0.7495 0.3782
0.3713 0.2505 0.6218
```

=====

[8]
A relaxed structure of Sc2BeMo. Source: the Alexandria database, functional GGA-PBE.

Its volume is 68.2 Å³ per cell. The formation energy is 0.17 eV/atom. As for the space group: I4/mmm. The energy is -6.632 eV/atom.

```
Sc2BeMo
1.0
-3.9202 3.0141 -0.7035
-4.2140 -2.6281 0.5321
4.0367 0.4274 2.9121
Sc Be Mo
2 1 1
Direct
0.9999 0.0001 0.0000
0.5001 0.4999 0.0000
0.2500 0.7500 0.5000
0.7500 0.2500 0.5000
```

=====

[9]
A relaxed structure of Zr2CrAsC. Source: the Alexandria database, functional GGA-PBE.

Its volume is 80.5 Å³ per cell. The formation energy is -0.38 eV/atom. As for the space group: P4/mmm. The energy is -8.499 eV/atom.

```
Zr2CrAsC
1.0
-4.5447 -0.7555 -0.0247
0.0370 -0.3462 3.7746
-0.7546 4.5253 0.4224
Cr As C Zr
1 1 1 2
Direct
0.0000 0.5000 0.0000
0.5000 0.5000 0.5000
0.0000 0.0000 0.0000
0.0000 0.0000 0.5000
0.5000 0.0000 0.0000
```

=====

[10]
A relaxed structure of Pm2ErSn3Rh4. Source: the Alexandria database, functional GGA-PBE.

Its volume is 221.0 Å³ per cell. The formation energy is -0.75 eV/atom. As for the space group: P-4m2. The energy is -6.301 eV/atom.

```
Pm2ErSn3Rh4
1.0
4.3925 0.0000 0.0000
0.0000 4.3925 0.0000
0.0000 0.0000 11.4556
Pm Er Sn Rh
2 1 3 4
Direct
0.5000 0.0000 0.2320
0.0000 0.5000 0.7680
0.5000 0.5000 0.5000
0.0000 0.0000 0.5000
0.5000 0.0000 0.8730
0.0000 0.5000 0.1270
0.5000 0.5000 0.0000
0.0000 0.0000 0.0000
0.5000 0.0000 0.6459
0.0000 0.5000 0.3541
```

=====

[11]
A relaxed structure of CsMgH. Source: the Alexandria database, functional GGA-PBE.

Its volume is 207.1 Å³ per cell. As for the space group: C2/m. The energy is -1.992 eV/atom.

```
CsMgH
1.0
-2.9786 -0.6244 -4.9789
3.9936 0.0225 1.0276
-0.6019 -12.0203 1.8676
Cs H Mg
2 2 2
Direct
0.7628 0.5255 0.2790
0.2372 0.4745 0.7210
0.7405 0.4810 0.7950
0.2595 0.5190 0.2050
0.2520 0.5040 0.0505
0.7480 0.4960 0.9495
```

=====

[12]
A relaxed structure of KSi2Se2. Source: the Alexandria database, functional GGA-PBE.

Its volume is 123.9 Å³ per cell. As for the space group: I4/mmm. The energy is -3.925 eV/atom. The formation energy (no corrections) comes out at -14 kJ per mole of atoms.

```
KSi2Se2
1.0
5.1087 0.0000 0.0000
0.0000 5.1087 0.0000
2.5543 2.5543 4.7460
K Si Se
1 2 2
Direct
0.0000 0.0000 0.0000
0.3470 0.3470 0.3060
0.6530 0.6530 0.6940
0.7500 0.2500 0.5000
0.2500 0.7500 0.5000
```

=====

[13]
A relaxed structure of LaCu2Re. Source: the Alexandria database, functional GGA-PBE.

The calculation puts the energy relative to the lowest polymorph listed for this composition at 114 meV/atom. Its volume is 70.2 Å³ per cell. The formation energy is 0.48 eV/atom. As for the space group: P4/mmm. The energy is -5.909 eV/atom.

```
LaCu2Re
1.0
4.2184 0.0000 0.0000
0.0000 4.2194 0.0000
0.0000 0.0000 3.9424
Cu La Re
2 1 1
Direct
0.0000 0.0000 0.0000
0.5000 0.5000 0.0000
0.5000 0.0000 0.5000
0.0000 0.5000 0.5000
```

=====

[14]
A relaxed structure of Nd4Cd3. Source: the Alexandria database, functional GGA-PBE.

The calculation puts the energy relative to the lowest polymorph listed for this composition at 78 meV/atom. Its volume is 217.5 Å³ per cell. The formation energy is -0.16 eV/atom. As for the space group: R-3m. The energy is -3.278 eV/atom.

```
Nd4Cd3
1.0
-0.4910 0.4162 5.3599
0.2247 -4.4258 3.0829
8.4477 -0.4086 3.5242
Nd Cd
4 3
Direct
0.6174 0.6174 0.1478
0.8703 0.8703 0.3892
0.1297 0.1297 0.6108
0.3826 0.3826 0.8522
0.2551 0.2551 0.2347
0.7449 0.7449 0.7653
0.0000 0.0000 0.0000
```

=====

[15]
A relaxed structure of DyScSnPb. Source: the Alexandria database, functional GGA-PBE.

Its volume is 104.2 Å³ per cell. The formation energy is -0.40 eV/atom. As for the space group: F-43m. The energy is -5.059 eV/atom.

```
DyScSnPb
1.0
5.2820 0.0000 0.0000
2.6410 4.5743 0.0000
2.6410 1.5248 4.3127
Pb Sc Sn Dy
1 1 1 1
Direct
0.7500 0.7500 0.7500
0.0000 0.0000 0.0000
0.2500 0.2500 0.2500
0.5000 0.5000 0.5000
```

=====

[16]
A relaxed structure of CoCuOs. Source: the Alexandria database, functional GGA-PBE.

The calculation puts the energy relative to the lowest polymorph listed for this composition at 0 meV/atom. Its volume is 38.2 Å³ per cell. The formation energy is 0.23 eV/atom. As for the space group: P3m1. The energy is -7.247 eV/atom.

```
CoCuOs
1.0
2.6409 0.0000 0.0000
-1.3204 2.2870 0.0000
0.0000 0.0000 6.3282
Co Cu Os
1 1 1
Direct
0.0000 0.0000 0.9969
0.3333 0.6667 0.3242
0.6667 0.3333 0.6788
```

=====

[17]
A relaxed structure of ScCdP2O. Source: the Alexandria database, functional GGA-PBE.

The calculation puts the energy relative to the lowest polymorph listed for this composition at 0 meV/atom. Its volume is 104.8 Å³ per cell. As for the space group: P4/mmm. The energy is -4.936 eV/atom. The formation energy (no corrections) comes out at -32 kJ per mole of atoms.

```
ScCdP2O
1.0
5.2363 0.0000 0.0000
0.0000 5.2363 0.0000
0.0000 0.0000 3.8233
Sc P O Cd
1 2 1 1
Direct
0.0000 0.0000 0.0000
0.0000 0.5000 0.0000
0.5000 0.0000 0.0000
0.0000 0.0000 0.5000
0.5000 0.5000 0.5000
```

=====

[18]
A relaxed structure of PmAsPd2. Source: the Alexandria database, functional GGA-PBE.

Its volume is 319.1 Å³ per cell. The formation energy is -0.86 eV/atom. As for the space group: Cmcm. The energy is -5.807 eV/atom.

```
PmAsPd2
1.0
-2.5381 2.8244 -1.9859
-1.5260 -7.3664 -3.9030
-6.6293 -1.7769 5.9456
Pm As Pd
4 4 8
Direct
0.5000 0.0000 0.5000
0.5000 0.0000 0.0000
0.6994 0.3987 0.2500
0.3006 0.6013 0.7500
0.8613 0.7225 0.5183
0.1387 0.2775 0.0183
0.8613 0.7225 0.9817
0.1387 0.2775 0.4817
0.1085 0.2169 0.7500
0.0561 0.1122 0.2500
0.8915 0.7831 0.2500
0.9439 0.8878 0.7500
0.2970 0.5941 0.4148
0.7030 0.4059 0.5852
0.7030 0.4059 0.9148
0.2970 0.5941 0.0852
```

=====

[19]
A relaxed structure of Tb3PmSc3. Source: the Alexandria database, functional GGA-PBE.

The calculation puts the energy relative to the lowest polymorph listed for this composition at 148 meV/atom. Its volume is 423.5 Å³ per cell. The formation energy is 0.18 eV/atom. As for the space group: R-3. The energy is -5.192 eV/atom.

```
Tb3PmSc3
1.0
7.5428 0.4072 3.9087
2.5528 7.1093 3.9087
0.5469 0.4072 8.4778
Tb Pm Sc
6 2 6
Direct
0.7216 0.5685 0.0673
0.0673 0.7216 0.5685
0.5685 0.0673 0.7216
0.4315 0.9327 0.2784
0.9327 0.2784 0.4315
0.2784 0.4315 0.9327
0.3483 0.3483 0.3483
0.6517 0.6517 0.6517
0.7239 0.1677 0.9375
0.1677 0.9375 0.7239
0.9375 0.7239 0.1677
0.0625 0.2761 0.8323
0.8323 0.0625 0.2761
0.2761 0.8323 0.0625
```

=====

[20]
A relaxed structure of Sm6Cu2Hg. Source: the Alexandria database, functional GGA-PBE.

Its volume is 500.0 Å³ per cell. The formation energy is -0.18 eV/atom. As for the space group: Immm. The energy is -4.267 eV/atom.

```
Sm6Cu2Hg
1.0
8.1802 -0.0503 -2.8731
-4.4042 7.0500 -2.4648
0.0144 0.0503 8.6701
Sm Cu Hg
12 4 2
Direct
0.5371 0.7187 0.8184
0.4629 0.2813 0.1816
0.0998 0.2813 0.8184
0.9002 0.7187 0.1816
0.8071 0.7578 0.5650
0.1929 0.2422 0.4350
0.1929 0.7578 0.9507
0.8071 0.2422 0.0493
0.6941 0.3711 0.6769
0.3059 0.6289 0.3231
0.3059 0.9828 0.6769
0.6941 0.0172 0.3231
0.5000 0.3818 0.8818
0.5000 0.6182 0.1182
0.6481 0.0000 0.6481
0.3519 0.0000 0.3519
0.0000 0.5000 0.5000
0.0000 0.0000 0.0000
```

=====

[21]
A relaxed structure of SrMg4Ir. Source: the Alexandria database, functional GGA-PBE.

The calculation puts the energy relative to the lowest polymorph listed for this composition at 0 meV/atom. Its volume is 296.1 Å³ per cell. The formation energy is -0.25 eV/atom. As for the space group: Pmma. The energy is -3.075 eV/atom.

```
SrMg4Ir
1.0
-3.7847 0.8881 1.9198
1.3418 -5.6558 5.2618
3.9795 5.7626 5.1793
Sr Mg Ir
2 8 2
Direct
0.0000 0.5902 0.7500
0.0000 0.4098 0.2500
0.0000 0.0000 0.5000
0.0000 0.0000 0.0000
0.5000 0.9688 0.7500
0.5000 0.0312 0.2500
0.5000 0.7083 0.0738
0.5000 0.2917 0.9262
0.5000 0.7083 0.4262
0.5000 0.2917 0.5738
0.0000 0.1916 0.7500
0.0000 0.8084 0.2500
```

=====

[22]
A relaxed structure of Na2InSn. Source: the Alexandria database, functional GGA-PBE.

Its volume is 106.2 Å³ per cell. The formation energy is -0.13 eV/atom. As for the space group: P4/mmm. The energy is -2.476 eV/atom.

```
Na2InSn
1.0
3.2395 0.0000 0.0000
0.0000 3.2395 0.0000
0.0000 0.0000 10.1246
Na Sn In
2 1 1
Direct
0.0000 0.0000 0.7534
0.0000 0.0000 0.2466
0.5000 0.5000 0.0000
0.5000 0.5000 0.5000
```

=====

[23]
A relaxed structure of RbAlGe. Source: the Alexandria database, functional GGA-PBE.

Its volume is 191.7 Å³ per cell. The formation energy is 0.15 eV/atom. As for the space group: Cmme. The energy is -2.960 eV/atom.

```
RbAlGe
1.0
3.6101 -6.3000 0.0000
3.6101 6.3000 0.0000
0.0000 0.0000 4.2142
Ge Al Rb
2 2 2
Direct
0.7500 0.2500 0.0851
0.2500 0.7500 0.9149
0.0000 0.5000 0.5000
0.5000 0.0000 0.5000
0.2500 0.2500 0.0000
0.7500 0.7500 0.0000
```

=====

[24]
A relaxed structure of LiSmZnGa. Source: the Alexandria database, functional GGA-PBE.

Its volume is 81.1 Å³ per cell. The formation energy is -0.38 eV/atom. As for the space group: F-43m. The energy is -3.114 eV/atom.

```
LiSmZnGa
1.0
4.8585 0.0000 0.0000
2.4292 4.2076 0.0000
2.4292 1.4025 3.9669
Zn Ga Sm Li
1 1 1 1
Direct
0.7500 0.7500 0.7500
0.2500 0.2500 0.2500
0.0000 0.0000 0.0000
0.5000 0.5000 0.5000
```

=====

[25]
A relaxed structure of Nb2MoW4. Source: the Alexandria database, functional GGA-PBE.

The calculation puts the energy relative to the lowest polymorph listed for this composition at 1195 meV/atom. Its volume is 144.8 Å³ per cell. The formation energy is 1.72 eV/atom. As for the space group: I4/mmm. The energy is -10.108 eV/atom.

```
Nb2MoW4
1.0
-0.8279 -0.0839 -4.6069
0.0314 -4.6807 0.0796
-6.8993 -2.4060 -1.0949
Mo Nb W
1 2 4
Direct
0.0000 0.0000 0.0000
0.6227 0.6227 0.7546
0.3773 0.3773 0.2454
0.8122 0.8122 0.3755
0.1878 0.1878 0.6245
0.0000 0.5000 0.0000
0.5000 0.0000 0.0000
```